(1)
# Ni2MoW (GGA-PBEsol, relaxed)
data_Ni2MoW
_cell_length_a 4.484
_cell_length_b 4.484
_cell_length_c 2.589
_cell_angle_alpha 90.00
_cell_angle_beta 90.00
_cell_angle_gamma 90.00
_symmetry_space_group_name_H-M 'P 4/m m m'
_symmetry_Int_Tables_number 123
_symmetry_space_group_name_Hall '-P 4 2'
loop_
_atom_site_label
_atom_site_fract_x
_atom_site_fract_y
_atom_site_fract_z
Ni1 0.000 0.500 0.000
Mo1 0.000 0.000 0.500
W1 0.500 0.500 0.500
# Excess energy over the best structure of this formula in the dataset ... 138.5 meV per atom
# Formation energy from the elements ... 196 meV/atom
# Crystal system ... tetragonal

(2)
# CrIn2P (GGA-PBEsol, relaxed)
data_CrIn2P
_cell_length_a 10.534
_cell_length_b 3.054
_cell_length_c 4.792
_cell_angle_alpha 90.00
_cell_angle_beta 109.18
_cell_angle_gamma 90.00
_symmetry_space_group_name_H-M 'C 1 m 1'
_symmetry_Int_Tables_number 8
loop_
_symmetry_equiv_pos_as_xyz
'x,y,z'
'x,-y,z'
'x+1/2,y+1/2,z'
'x+1/2,-y+1/2,z'
loop_
_atom_site_label
_atom_site_fract_x
_atom_site_fract_y
_atom_site_fract_z
Cr1 0.000 0.000 0.000
In1 0.251 0.000 0.837
In2 0.455 0.000 0.485
P1 0.156 0.500 0.237
# Formation energy from the elements ... 168 meV/atom
# Crystal system ... monoclinic

(3)
# In2IrOs (GGA-PBEsol, relaxed)
data_In2IrOs
_cell_length_a 2.877
_cell_length_b 4.550
_cell_length_c 10.849
_cell_angle_alpha 90.00
_cell_angle_beta 90.00
_cell_angle_gamma 90.00
_symmetry_space_group_name_H-M 'I m m 2'
_symmetry_Int_Tables_number 44
loop_
_symmetry_equiv_pos_as_xyz
'x,y,z'
'-x,-y,z'
'-x,y,z'
'x,-y,z'
'x+1/2,y+1/2,z+1/2'
'-x+1/2,-y+1/2,z+1/2'
'-x+1/2,y+1/2,z+1/2'
'x+1/2,-y+1/2,z+1/2'
loop_
_atom_site_label
_atom_site_fract_x
_atom_site_fract_y
_atom_site_fract_z
In1 0.000 0.000 0.000
In2 0.000 0.500 0.193
Ir1 0.000 0.500 0.752
Os1 0.000 0.000 0.449
# Formation energy from the elements ... 308 meV/atom
# Crystal system ... orthorhombic